No. 1
Density functional theory data (PBE-GGA) for crystalline Sr2Al2Se at its relaxed geometry.

Cell: 6.4150 6.4150 5.9715 Å, 57.51 57.51 90.00°
Closest atoms and distances in Å follow each position.
Positions (direct):
Sr1 0.7500 0.2500 0.5000  4 Al 3.29
Sr2 0.2500 0.7500 0.5000  4 Al 3.29
Al1 0.3427 0.3427 0.3145  1 Al 2.44, 1 Se 2.66
Al2 0.6573 0.6573 0.6855  1 Al 2.44, 1 Se 2.66
Se1 0.0000 0.0000 0.0000  2 Al 2.66

## Properties
Fermi-level density of states in states/eV/cell: 0.11
DFT total energy in eV/atom: -3.080


No. 2
Density functional theory data (PBE-GGA) for crystalline SrAl2Se at its relaxed geometry.

Cell: 3.7272 3.7190 7.1381 Å, 90.00 90.00 90.00°
Closest atoms and distances in Å follow each position.
Positions (direct):
Sr1 0.5000 0.5000 0.7500  8 Al 3.47, 2 Se 3.57, 4 Sr 3.72-3.73
Al1 0.0000 0.0000 0.0663  1 Al 2.62
Al2 0.0000 0.0000 0.4337  1 Al 2.62
Se1 0.5000 0.5000 0.2500  8 Al 2.94

## Properties
Fermi-level density of states in states/eV/cell: 2.87
DFT total energy in eV/atom: -3.348


No. 3
Density functional theory data (PBE-GGA) for crystalline SrAl2Se2 at its relaxed geometry.

Cell: 3.8653 3.8653 8.5836 Å, 76.99 76.99 90.00°
Closest atoms and distances in Å follow each position.
Positions (direct):
Sr1 0.0000 0.0000 0.0000  8 Se 3.23
Al1 0.7500 0.2500 0.5000  4 Al 2.73, 4 Se 3.04
Al2 0.2500 0.7500 0.5000  4 Al 2.73, 4 Se 3.04
Se1 0.3942 0.3942 0.2117  4 Al 3.04, 4 Sr 3.23
Se2 0.6058 0.6058 0.7883  4 Al 3.04, 4 Sr 3.23

## Properties
Fermi-level density of states in states/eV/cell: 1.91
DFT total energy in eV/atom: -3.850


No. 4
Density functional theory data (PBE-GGA) for crystalline SrAl4Se7 at its relaxed geometry.

Cell: 6.3985 6.6322 15.8401 Å, 90.00 90.00 90.00°
Closest atoms and distances in Å follow each position.
Positions (direct):
Sr1 0.3680 0.8992 0.5000  5 Se 3.13-3.29
Sr2 0.8680 0.1008 0.0000  5 Se 3.13-3.29
Al1 0.6075 0.6577 0.8790  4 Se 2.40-2.46
Al2 0.0920 0.8294 0.2503  4 Se 2.38-2.48
Al3 0.5920 0.1706 0.2497  4 Se 2.38-2.48
Al4 0.1075 0.3423 0.6210  4 Se 2.40-2.46
Al5 0.1075 0.3423 0.3790  4 Se 2.40-2.46
Al6 0.6075 0.6577 0.1210  4 Se 2.40-2.46
Al7 0.0920 0.8294 0.7497  4 Se 2.38-2.48
Al8 0.5920 0.1706 0.7503  4 Se 2.38-2.48
Se1 0.9789 0.7117 0.1157  2 Al 2.38-2.41
Se2 0.4789 0.2883 0.3843  2 Al 2.38-2.41
Se3 0.5022 0.3112 0.8837  2 Al 2.38-2.40
Se4 0.0022 0.6888 0.6163  2 Al 2.38-2.40
Se5 0.0022 0.6888 0.3837  2 Al 2.38-2.40
Se6 0.5022 0.3112 0.1163  2 Al 2.38-2.40
Se7 0.4792 0.8168 0.7487  3 Al 2.45-2.48
Se8 0.9792 0.1832 0.7513  3 Al 2.45-2.48
Se9 0.9792 0.1832 0.2487  3 Al 2.45-2.48
Se10 0.4792 0.8168 0.2513  3 Al 2.45-2.48
Se11 0.4671 0.8297 0.0000  2 Al 2.40
Se12 0.9671 0.1703 0.5000  2 Al 2.40
Se13 0.9789 0.7117 0.8843  2 Al 2.38-2.41
Se14 0.4789 0.2883 0.6157  2 Al 2.38-2.41

## Properties
Fermi-level density of states in states/eV/cell: 0.00
DFT total energy in eV/atom: -4.478


No. 5
Density functional theory data (PBE-GGA) for crystalline Sr2TbAlSe5 at its relaxed geometry.

Cell: 4.1216 9.5515 12.9670 Å, 90.00 90.00 102.46°
Closest atoms and distances in Å follow each position.
Positions (direct):
Sr1 0.8766 0.7533 0.8269  6 Se 3.14-3.21
Sr2 0.1176 0.2352 0.6827  7 Se 3.11-3.41
Sr3 0.1234 0.2467 0.3269  6 Se 3.14-3.21
Sr4 0.8824 0.7648 0.1827  7 Se 3.11-3.41
Tb1 0.7934 0.5869 0.5284  6 Se 2.79-3.04
Tb2 0.2066 0.4131 0.0284  6 Se 2.79-3.04
Al1 0.5590 0.1180 0.9285  4 Se 2.35-2.49
Al2 0.4410 0.8820 0.4285  4 Se 2.35-2.49
Se1 0.3553 0.7106 0.0070  1 Tb 2.79, 2 Sr 3.11
Se2 0.6837 0.3674 0.8699  1 Al 2.45
Se3 0.4987 0.9974 0.7693  1 Al 2.35
Se4 0.2945 0.5890 0.6778  2 Tb 2.83
Se5 0.9564 0.9128 0.5334  2 Al 2.49
Se6 0.6447 0.2894 0.5070  1 Tb 2.79, 2 Sr 3.11
Se7 0.3163 0.6326 0.3699  1 Al 2.45
Se8 0.5013 0.0026 0.2693  1 Al 2.35
Se9 0.7055 0.4110 0.1778  2 Tb 2.83
Se10 0.0436 0.0872 0.0334  2 Al 2.49

## Properties
Fermi-level density of states in states/eV/cell: 0.00
DFT total energy in eV/atom: -4.941


No. 6
Density functional theory data (PBE-GGA) for crystalline SrAlTe2Se at its relaxed geometry.

Cell: 5.6895 5.6313 5.6895 Å, 90.00 90.00 90.00°
Closest atoms and distances in Å follow each position.
Positions (direct):
Sr1 0.0000 0.5000 0.0000  2 Se 2.82
Te1 0.0000 0.0000 0.5000  2 Se 2.84
Te2 0.5000 0.0000 0.0000  2 Se 2.84
Al1 0.5000 0.5000 0.5000  8 Te 4.00, 4 Sr 4.02
Se1 0.0000 0.0000 0.0000  2 Sr 2.82, 4 Te 2.84

## Properties
Fermi-level density of states in states/eV/cell: 1.73
DFT total energy in eV/atom: -3.132


No. 7
Density functional theory data (PBE-GGA) for crystalline Sr2TmAlSe5 at its relaxed geometry.

Cell: 4.0962 9.4919 12.9502 Å, 90.00 90.00 102.46°
Closest atoms and distances in Å follow each position.
Positions (direct):
Sr1 0.8751 0.7503 0.8251  6 Se 3.14-3.21
Sr2 0.1184 0.2367 0.6822  7 Se 3.11-3.44
Sr3 0.1249 0.2497 0.3251  6 Se 3.14-3.21
Sr4 0.8816 0.7633 0.1822  7 Se 3.11-3.44
Tm1 0.7930 0.5860 0.5280  6 Se 2.75-2.99
Tm2 0.2070 0.4140 0.0280  6 Se 2.75-2.99
Al1 0.5602 0.1204 0.9297  4 Se 2.35-2.48
Al2 0.4398 0.8796 0.4297  4 Se 2.35-2.48
Se1 0.3543 0.7087 0.0062  1 Tm 2.75
Se2 0.6858 0.3716 0.8722  1 Al 2.44
Se3 0.4992 0.9985 0.7706  1 Al 2.35
Se4 0.2938 0.5875 0.6744  2 Tm 2.79
Se5 0.9541 0.9081 0.5356  2 Al 2.48
Se6 0.6457 0.2913 0.5062  1 Tm 2.75
Se7 0.3142 0.6284 0.3722  1 Al 2.44
Se8 0.5008 0.0015 0.2706  1 Al 2.35
Se9 0.7062 0.4125 0.1744  2 Tm 2.79
Se10 0.0459 0.0919 0.0356  2 Al 2.48

## Properties
Fermi-level density of states in states/eV/cell: 0.00
DFT total energy in eV/atom: -4.922


No. 8
Density functional theory data (PBE-GGA) for crystalline SrAl2WSe at its relaxed geometry.

Cell: 5.5546 5.3528 5.5546 Å, 90.00 90.00 90.00°
Closest atoms and distances in Å follow each position.
Positions (direct):
Sr1 0.0000 0.0000 0.0000  2 Se 2.68, 4 Al 2.78
Se1 0.0000 0.5000 0.0000  2 Sr 2.68
W1 0.5000 0.5000 0.5000  8 Al 3.86, 4 Se 3.93
Al1 0.0000 0.0000 0.5000  2 Sr 2.78
Al2 0.5000 0.0000 0.0000  2 Sr 2.78

## Properties
Fermi-level density of states in states/eV/cell: 7.47
DFT total energy in eV/atom: -2.939


No. 9
Density functional theory data (PBE-GGA) for crystalline SrYAlSe4 at its relaxed geometry.

Cell: 6.8186 7.0169 8.3520 Å, 90.00 106.95 90.00°
Closest atoms and distances in Å follow each position.
Positions (direct):
Sr1 0.7597 0.7500 0.9419  6 Se 3.02-3.28
Sr2 0.2403 0.2500 0.0581  6 Se 3.02-3.28
Y1 0.7746 0.7500 0.4448  6 Se 2.87-2.99
Y2 0.2254 0.2500 0.5552  6 Se 2.87-2.99
Al1 0.2400 0.7500 0.3211  4 Se 2.35-2.40
Al2 0.7600 0.2500 0.6789  4 Se 2.35-2.40
Se1 0.0044 0.5059 0.7301  1 Al 2.40
Se2 0.9956 0.0059 0.2699  1 Al 2.40
Se3 0.9956 0.4941 0.2699  1 Al 2.40
Se4 0.0044 0.9941 0.7301  1 Al 2.40
Se5 0.4396 0.7500 0.1332  1 Al 2.36
Se6 0.5604 0.2500 0.8668  1 Al 2.36
Se7 0.4503 0.7500 0.5997  1 Al 2.35
Se8 0.5497 0.2500 0.4003  1 Al 2.35

## Properties
Fermi-level density of states in states/eV/cell: 0.00
DFT total energy in eV/atom: -5.235


No. 10
Density functional theory data (PBE-GGA) for crystalline SrAlZn2Se4 at its relaxed geometry.

Cell: 6.9764 6.9764 6.4104 Å, 122.22 122.22 91.15°
Closest atoms and distances in Å follow each position.
Positions (direct):
Sr1 0.9969 0.9969 0.9939  8 Se 3.19-3.47
Al1 0.4979 0.4979 0.9957  4 Se 2.41-2.42
Zn1 0.7631 0.2631 0.5262  4 Se 2.60-2.64
Zn2 0.2631 0.7631 0.5262  4 Se 2.60-2.64
Se1 0.5373 0.5373 0.6654  1 Al 2.42, 2 Zn 2.60
Se2 0.4544 0.8594 0.3139  1 Al 2.41, 2 Zn 2.64
Se3 0.8594 0.4544 0.3139  1 Al 2.41, 2 Zn 2.64
Se4 0.1282 0.1282 0.6654  1 Al 2.42, 2 Zn 2.60

## Properties
Fermi-level density of states in states/eV/cell: 2.22
DFT total energy in eV/atom: -3.631


No. 11
Density functional theory data (PBE-GGA) for crystalline SrZr2AlSe at its relaxed geometry.

Cell: 5.1910 5.4128 5.1910 Å, 90.00 90.00 90.00°
Closest atoms and distances in Å follow each position.
Positions (direct):
Sr1 0.5000 0.5000 0.5000  4 Se 3.67, 8 Zr 3.75
Se1 0.0000 0.5000 0.0000  2 Al 2.71
Zr1 0.0000 0.0000 0.5000  2 Al 2.60
Zr2 0.5000 0.0000 0.0000  2 Al 2.60
Al1 0.0000 0.0000 0.0000  4 Zr 2.60, 2 Se 2.71

## Properties
Fermi-level density of states in states/eV/cell: 2.91
DFT total energy in eV/atom: -4.769


No. 12
Density functional theory data (PBE-GGA) for crystalline TaAlSe at its relaxed geometry.

Cell: 4.4727 4.4727 4.4727 Å, 60.00 60.00 60.00°
Closest atoms and distances in Å follow each position.
Positions (direct):
Al1 0.0000 0.0000 0.0000  4 Ta 2.74
Se1 0.5000 0.5000 0.5000  4 Ta 2.74
Ta1 0.7500 0.7500 0.7500  4 Se 2.74, 4 Al 2.74

## Properties
Fermi-level density of states in states/eV/cell: 3.66
DFT total energy in eV/atom: -5.825